1.
The following is a DFT calculation (PBE-GGA) of a relaxed structure of TiBe.

Cell lengths 4.794, 4.668, 9.248 Å; angles 90.00, 90.00, 90.00 degrees
Atoms (fractional coordinates):
Ti 0.161 0.123 0.268
Be 0.898 0.386 0.474
Be 0.839 0.886 0.841
Ti 0.102 0.388 0.938
Ti 0.839 0.623 0.232
Ti 0.661 0.377 0.732
Be 0.161 0.386 0.659
Ti 0.339 0.877 0.768
Ti 0.602 0.112 0.062
Be 0.661 0.114 0.341
Ti 0.898 0.888 0.562
Be 0.398 0.114 0.526
Be 0.102 0.886 0.026
Ti 0.398 0.612 0.438
Be 0.339 0.614 0.159
Be 0.602 0.614 0.974

## Properties
Energy of formation from the pure elements = -0.03 eV/atom
Energy relative to the lowest polymorph listed for this composition = 0.114 eV per atom
Calculated density = 3.65 g/cm³
Total energy = -93.49 eV/cell

2.
The following is a DFT calculation (PBE-GGA) of a relaxed structure of Li3CoGe.

Cell lengths 4.491, 4.491, 4.491 Å; angles 90.00, 90.00, 90.00 degrees
Atoms (fractional coordinates):
Li 0.000 0.500 0.000
Ge 0.500 0.500 0.500
Li 0.500 0.000 0.000
Co 0.000 0.000 0.000
Li 0.000 0.000 0.500

## Properties
Energy of formation from the pure elements = 0.63 eV/atom
Energy relative to the lowest polymorph listed for this composition = 0.000 eV per atom
Calculated density = 2.79 g/cm³
Total energy = -14.34 eV/cell

Computed values of DOS(E_F) (unit: states/eV/atom) for the preceding records, in sequence: 1.22, 1.35.